[1]
Density functional theory data (PBE) for an optimized crystal structure of B2TeRuSe.

Cell lengths 4.0107, 4.0107, 5.5352 Å; angles 90.00, 90.00, 90.00 degrees
With the nearest neighbours (Å) after each atom.
Positions (direct):
B (0.0000, 0.5000, 0.0000)  2 Se 2.01
B (0.5000, 0.0000, 0.0000)  2 Se 2.01
Te (0.0000, 0.0000, 0.5000)  2 Se 2.77, 4 Ru 2.84
Ru (0.5000, 0.5000, 0.5000)  4 Te 2.84
Se (0.0000, 0.0000, 0.0000)  4 B 2.01

- raw total energy (eV for the cell shown) = -19.9
- formation energy (no corrections) (eV/atom) = 1.870
- space group = P4/mmm, No. 123

***

[2]
Density functional theory data (PBE) for an optimized crystal structure of NaAgHgSe.

Cell lengths 7.0964, 7.0964, 7.0964 Å; angles 90.00, 90.00, 90.00 degrees
With the nearest neighbours (Å) after each atom.
Positions (direct):
Na (0.0000, 0.0000, 0.0000)  4 Se 3.07, 4 Hg 3.07
Na (0.0000, 0.5000, 0.5000)  4 Se 3.07, 4 Hg 3.07
Na (0.5000, 0.0000, 0.5000)  4 Se 3.07, 4 Hg 3.07
Na (0.5000, 0.5000, 0.0000)  4 Se 3.07, 4 Hg 3.07
Ag (0.0000, 0.0000, 0.5000)  4 Hg 3.07, 4 Se 3.07
Ag (0.0000, 0.5000, 0.0000)  4 Hg 3.07, 4 Se 3.07
Ag (0.5000, 0.0000, 0.0000)  4 Hg 3.07, 4 Se 3.07
Ag (0.5000, 0.5000, 0.5000)  4 Hg 3.07, 4 Se 3.07
Hg (0.2500, 0.2500, 0.7500)  4 Na 3.07, 4 Ag 3.07
Hg (0.2500, 0.7500, 0.2500)  4 Na 3.07, 4 Ag 3.07
Hg (0.7500, 0.2500, 0.2500)  4 Na 3.07, 4 Ag 3.07
Hg (0.7500, 0.7500, 0.7500)  4 Ag 3.07, 4 Na 3.07
Se (0.2500, 0.2500, 0.2500)  4 Na 3.07, 4 Ag 3.07
Se (0.2500, 0.7500, 0.7500)  4 Na 3.07, 4 Ag 3.07
Se (0.7500, 0.2500, 0.7500)  4 Na 3.07, 4 Ag 3.07
Se (0.7500, 0.7500, 0.2500)  4 Na 3.07, 4 Ag 3.07

- raw total energy (eV for the cell shown) = -36.6
- formation energy (no corrections) (eV/atom) = -0.299
- space group = F-43m, No. 216

***

[3]
Density functional theory data (PBE) for an optimized crystal structure of YBe2W.

Cell lengths 3.7598, 3.7598, 8.8134 Å; angles 90.00, 90.00, 90.00 degrees
With the nearest neighbours (Å) after each atom.
Positions (direct):
Y (0.0000, 0.0000, 0.0000)  8 Be 2.66-2.90, 4 W 2.90
Y (0.5000, 0.5000, 0.5000)  8 Be 2.66-2.90, 4 W 2.90
Be (0.0000, 0.0000, 0.5000)  4 Y 2.66, 4 W 2.90, 4 Be 2.90
Be (0.0000, 0.5000, 0.7500)  4 W 2.66, 4 Be 2.90, 4 Y 2.90
Be (0.5000, 0.0000, 0.2500)  4 W 2.66, 4 Be 2.90, 4 Y 2.90
Be (0.5000, 0.5000, 0.0000)  4 Y 2.66, 4 W 2.90, 4 Be 2.90
W (0.0000, 0.5000, 0.2500)  8 Be 2.66-2.90, 4 Y 2.90
W (0.5000, 0.0000, 0.7500)  8 Be 2.66-2.90, 4 Y 2.90

- ΔH_f (0 K) (eV per atom) = 0.575
- E above lowest polymorph (eV/atom) = 0.433
- raw total energy (eV for the cell shown) = -49.1
- space group = I-4m2, No. 119

***

[4]
Density functional theory data (PBE) for an optimized crystal structure of BaZn3Pd.

Cell lengths 6.8037, 6.8037, 5.6155 Å; angles 90.00, 90.00, 122.94 degrees
With the nearest neighbours (Å) after each atom.
Positions (direct):
Ba (0.1122, 0.8878, 0.7500)  12 Zn 3.28-3.63
Ba (0.8878, 0.1122, 0.2500)  12 Zn 3.28-3.63
Zn (0.1435, 0.4238, 0.7500)  2 Pd 2.60, 2 Zn 2.70-2.81
Zn (0.3052, 0.6948, 0.2500)  2 Zn 2.70, 2 Pd 2.72
Zn (0.4238, 0.1435, 0.2500)  2 Pd 2.60, 2 Zn 2.70-2.81
Zn (0.5762, 0.8565, 0.7500)  2 Pd 2.60, 2 Zn 2.70-2.81
Zn (0.6948, 0.3052, 0.7500)  2 Zn 2.70, 2 Pd 2.72
Zn (0.8565, 0.5762, 0.2500)  2 Pd 2.60, 2 Zn 2.70-2.81
Pd (0.5000, 0.5000, 0.0000)  6 Zn 2.60-2.72, 2 Pd 2.81
Pd (0.5000, 0.5000, 0.5000)  6 Zn 2.60-2.72, 2 Pd 2.81

- ΔH_f (0 K) (eV per atom) = -0.330
- E above lowest polymorph (eV/atom) = 0.000
- raw total energy (eV for the cell shown) = -25.2
- space group = Cmcm, No. 63

***

[5]
Density functional theory data (PBE) for an optimized crystal structure of YMgCu.

Cell lengths 10.3979, 3.9491, 7.6160 Å; angles 90.00, 122.60, 90.00 degrees
With the nearest neighbours (Å) after each atom.
Positions (direct):
Y (0.0757, 0.0000, 0.3378)  5 Cu 2.94-3.02
Y (0.4243, 0.5000, 0.6622)  5 Cu 2.94-3.02
Y (0.5757, 0.5000, 0.3378)  5 Cu 2.94-3.02
Y (0.9243, 0.0000, 0.6622)  5 Cu 2.94-3.02
Mg (0.1772, 0.5000, 0.0753)  3 Cu 2.73-2.91
Mg (0.3228, 0.0000, 0.9247)  3 Cu 2.73-2.91
Mg (0.6772, 0.0000, 0.0753)  3 Cu 2.73-2.91
Mg (0.8228, 0.5000, 0.9247)  3 Cu 2.73-2.91
Cu (0.1349, 0.5000, 0.6657)  1 Cu 2.57, 2 Mg 2.73
Cu (0.3651, 0.0000, 0.3343)  1 Cu 2.57, 2 Mg 2.73
Cu (0.6349, 0.0000, 0.6657)  1 Cu 2.57, 2 Mg 2.73
Cu (0.8651, 0.5000, 0.3343)  1 Cu 2.57, 2 Mg 2.73

- ΔH_f (0 K) (eV per atom) = -0.204
- E above lowest polymorph (eV/atom) = 0.015
- raw total energy (eV for the cell shown) = -51.1
- space group = C2/m, No. 12

***

[6]
Density functional theory data (PBE) for an optimized crystal structure of CaReMo3.

Cell lengths 4.4841, 4.4841, 4.4841 Å; angles 90.00, 90.00, 90.00 degrees
With the nearest neighbours (Å) after each atom.
Positions (direct):
Ca (0.0000, 0.0000, 0.0000)  6 Mo 2.24
Re (0.5000, 0.5000, 0.5000)  12 Mo 3.17
Mo (0.0000, 0.0000, 0.5000)  2 Ca 2.24
Mo (0.0000, 0.5000, 0.0000)  2 Ca 2.24
Mo (0.5000, 0.0000, 0.0000)  2 Ca 2.24

- ΔH_f (0 K) (eV per atom) = 2.848
- E above lowest polymorph (eV/atom) = 1.595
- raw total energy (eV for the cell shown) = -32.7
- space group = Pm-3m, No. 221

***

[7]
Density functional theory data (PBE) for an optimized crystal structure of Mn2AlC2.

Cell lengths 5.9073, 5.9073, 2.5964 Å; angles 90.00, 90.00, 90.00 degrees
With the nearest neighbours (Å) after each atom.
Positions (direct):
Mn (0.1390, 0.3610, 0.0000)  6 C 2.15-2.17, 2 Al 2.29, 1 Mn 2.32
Mn (0.3610, 0.8610, 0.0000)  6 C 2.15-2.17, 2 Al 2.29, 1 Mn 2.32
Mn (0.6390, 0.1390, 0.0000)  6 C 2.15-2.17, 2 Al 2.29, 1 Mn 2.32
Mn (0.8610, 0.6390, 0.0000)  6 C 2.15-2.17, 2 Al 2.29, 1 Mn 2.32
Al (0.0000, 0.0000, 0.0000)  4 Mn 2.29
Al (0.5000, 0.5000, 0.0000)  4 Mn 2.29
C (0.1554, 0.6554, 0.5000)  6 Mn 2.15-2.17
C (0.3446, 0.1554, 0.5000)  6 Mn 2.15-2.17
C (0.6554, 0.8446, 0.5000)  6 Mn 2.15-2.17
C (0.8446, 0.3446, 0.5000)  6 Mn 2.15-2.17

- ΔH_f (0 K) (eV per atom) = 0.798
- E above lowest polymorph (eV/atom) = 0.133
- raw total energy (eV for the cell shown) = -73.1
- space group = P4/mbm, No. 127

***

[8]
Density functional theory data (PBE) for an optimized crystal structure of NaZn3Tc.

Cell lengths 4.8822, 4.8822, 4.8822 Å; angles 90.00, 90.00, 90.00 degrees
With the nearest neighbours (Å) after each atom.
Positions (direct):
Na (0.0000, 0.0000, 0.0000)  12 Zn 3.45
Zn (0.0000, 0.5000, 0.5000)  2 Tc 2.44
Zn (0.5000, 0.0000, 0.5000)  2 Tc 2.44
Zn (0.5000, 0.5000, 0.0000)  2 Tc 2.44
Tc (0.5000, 0.5000, 0.5000)  6 Zn 2.44

- ΔH_f (0 K) (eV per atom) = 0.458
- E above lowest polymorph (eV/atom) = 0.000
- raw total energy (eV for the cell shown) = -13.2
- space group = Pm-3m, No. 221

***

[9]
Density functional theory data (PBE) for an optimized crystal structure of NaSrSn.

Cell lengths 3.8933, 18.0691, 5.5927 Å; angles 90.00, 90.00, 90.00 degrees
With the nearest neighbours (Å) after each atom.
Positions (direct):
Na (0.0000, 0.0000, 0.0000)  4 Na 3.33-3.48, 2 Sn 3.51
Na (0.0000, 0.5000, 0.5000)  4 Na 3.33-3.48, 2 Sn 3.51
Na (0.5000, 0.0000, 0.4837)  4 Sn 3.26, 4 Na 3.33-3.48
Na (0.5000, 0.5000, 0.9837)  4 Sn 3.26, 4 Na 3.33-3.48
Sr (0.5000, 0.1813, 0.9233)  6 Sn 3.47-3.72, 2 Sr 3.74, 2 Na 3.84
Sr (0.5000, 0.3187, 0.4233)  6 Sn 3.47-3.72, 2 Sr 3.74, 2 Na 3.84
Sr (0.5000, 0.6813, 0.4233)  6 Sn 3.47-3.72, 2 Sr 3.74, 2 Na 3.84
Sr (0.5000, 0.8187, 0.9233)  6 Sn 3.47-3.72, 2 Sr 3.74, 2 Na 3.84
Sn (0.0000, 0.1433, 0.4228)  3 Na 3.26-3.51, 4 Sr 3.47-3.48
Sn (0.0000, 0.3567, 0.9228)  3 Na 3.26-3.51, 4 Sr 3.47-3.48
Sn (0.0000, 0.6433, 0.9228)  3 Na 3.26-3.51, 4 Sr 3.47-3.48
Sn (0.0000, 0.8567, 0.4228)  3 Na 3.26-3.51, 4 Sr 3.47-3.48

- ΔH_f (0 K) (eV per atom) = -0.374
- E above lowest polymorph (eV/atom) = 0.037
- raw total energy (eV for the cell shown) = -32.5
- space group = Amm2, No. 38

***

[10]
Density functional theory data (PBE) for an optimized crystal structure of La2ZrBr.

Cell lengths 12.2891, 3.4744, 5.6383 Å; angles 90.00, 106.15, 90.00 degrees
With the nearest neighbours (Å) after each atom.
Positions (direct):
La (0.0000, 0.0000, 0.0000)  1 Br 3.20, 4 Zr 3.34-3.37, 2 La 3.47
La (0.2098, 0.0000, 0.6243)  4 Br 3.33-3.43, 3 Zr 3.34-3.47, 2 La 3.47
La (0.5000, 0.5000, 0.0000)  1 Br 3.20, 4 Zr 3.34-3.37, 2 La 3.47
La (0.7098, 0.5000, 0.6243)  4 Br 3.33-3.43, 3 Zr 3.34-3.47, 2 La 3.47
Zr (0.4549, 0.0000, 0.4758)  2 Br 3.06, 5 La 3.34-3.37
Zr (0.9549, 0.5000, 0.4758)  2 Br 3.06, 5 La 3.34-3.37
Br (0.2673, 0.5000, 0.1487)  2 Zr 3.06, 3 La 3.20-3.33
Br (0.7673, 0.0000, 0.1487)  2 Zr 3.06, 3 La 3.20-3.33

- E above lowest polymorph (eV/atom) = 0.172
- raw total energy (eV for the cell shown) = -42.5
- formation energy (no corrections) (eV/atom) = -0.291
- space group = Cm, No. 8